Record 1
Computed, not measured: a relaxed structure of CdRe3Cl at the PBE level of DFT.

Results
* ΔE_f (raw): 3.35 eV per atom
* size of the total moment: 2.37 μB per atom
* energy: -4.67 eV per atom
* symmetry: Pm-3m (221)
* relative energy among the computed polymorphs: 1.644 eV/atom
* density of states at the Fermi level: 5.1 states/eV per cell

Geometry as CIF:
```
data_CdRe3Cl
_cell_length_a 5.2064
_cell_length_b 5.2064
_cell_length_c 5.2064
_cell_angle_alpha 90.00
_cell_angle_beta 90.00
_cell_angle_gamma 90.00
_space_group_name_H-M_alt 'P 1'
_space_group_IT_number 1
loop_
_space_group_symop_operation_xyz
'x,y,z'
loop_
_atom_site_label
_atom_site_type_symbol
_atom_site_fract_x
_atom_site_fract_y
_atom_site_fract_z
_atom_site_occupancy
Re1 Re 0.0000 0.5000 0.0000 1
Re2 Re 0.0000 0.0000 0.5000 1
Re3 Re 0.5000 0.0000 0.0000 1
Cl1 Cl 0.5000 0.5000 0.5000 1
Cd1 Cd 0.0000 0.0000 0.0000 1
```

Record 2
Computed, not measured: a relaxed structure of CdRe2Cl at the PBE level of DFT.

Results
* ΔE_f (raw): 0.92 eV per atom
* size of the total moment: 0.00 μB per atom
* energy: -5.99 eV per atom
* symmetry: P2/m (10)
* relative energy among the computed polymorphs: 0.819 eV/atom
* density of states at the Fermi level: 3.0 states/eV per cell

Geometry as CIF:
```
data_CdRe2Cl
_cell_length_a 5.2121
_cell_length_b 3.2160
_cell_length_c 4.5512
_cell_angle_alpha 94.92
_cell_angle_beta 90.00
_cell_angle_gamma 90.00
_space_group_name_H-M_alt 'P 1'
_space_group_IT_number 1
loop_
_space_group_symop_operation_xyz
'x,y,z'
loop_
_atom_site_label
_atom_site_type_symbol
_atom_site_fract_x
_atom_site_fract_y
_atom_site_fract_z
_atom_site_occupancy
Re1 Re 0.0000 0.9545 0.0467 1
Re2 Re 0.0000 0.5455 0.4533 1
Cl1 Cl 0.5000 0.7500 0.7500 1
Cd1 Cd 0.5000 0.2500 0.2500 1
```

Record 3
Computed, not measured: a relaxed structure of CdRe4Cl at the PBE level of DFT.

Results
* ΔE_f (raw): 1.14 eV per atom
* size of the total moment: 0.00 μB per atom
* energy: -7.62 eV per atom
* symmetry: F-43m (216)
* density of states at the Fermi level: 6.9 states/eV per cell

Geometry as CIF:
```
data_CdRe4Cl
_cell_length_a 5.3141
_cell_length_b 5.3141
_cell_length_c 5.3141
_cell_angle_alpha 60.00
_cell_angle_beta 60.00
_cell_angle_gamma 60.00
_space_group_name_H-M_alt 'P 1'
_space_group_IT_number 1
loop_
_space_group_symop_operation_xyz
'x,y,z'
loop_
_atom_site_label
_atom_site_type_symbol
_atom_site_fract_x
_atom_site_fract_y
_atom_site_fract_z
_atom_site_occupancy
Cd1 Cd 0.7500 0.7500 0.7500 1
Re1 Re 0.8788 0.3737 0.3737 1
Re2 Re 0.3737 0.3737 0.8788 1
Re3 Re 0.3737 0.8788 0.3737 1
Re4 Re 0.3737 0.3737 0.3737 1
Cl1 Cl 0.0000 0.0000 0.0000 1
```

Record 4
Computed, not measured: a relaxed structure of CdRe2Cl at the PBE level of DFT.

Results
* ΔE_f (raw): 1.16 eV per atom
* size of the total moment: 0.14 μB per atom
* energy: -5.75 eV per atom
* symmetry: P4/mmm (123)
* relative energy among the computed polymorphs: 1.058 eV/atom
* density of states at the Fermi level: 3.4 states/eV per cell

Geometry as CIF:
```
data_CdRe2Cl
_cell_length_a 6.3855
_cell_length_b 3.6070
_cell_length_c 3.6070
_cell_angle_alpha 90.00
_cell_angle_beta 90.00
_cell_angle_gamma 90.00
_space_group_name_H-M_alt 'P 1'
_space_group_IT_number 1
loop_
_space_group_symop_operation_xyz
'x,y,z'
loop_
_atom_site_label
_atom_site_type_symbol
_atom_site_fract_x
_atom_site_fract_y
_atom_site_fract_z
_atom_site_occupancy
Re1 Re 0.0000 0.0000 0.0000 1
Re2 Re 0.0000 0.5000 0.5000 1
Cl1 Cl 0.5000 0.0000 0.5000 1
Cd1 Cd 0.5000 0.5000 0.0000 1
```

Record 5
Computed, not measured: a relaxed structure of CdRe2Cl at the PBE level of DFT.

Results
* ΔE_f (raw): 1.24 eV per atom
* size of the total moment: 0.00 μB per atom
* energy: -5.67 eV per atom
* symmetry: P4/mmm (123)
* relative energy among the computed polymorphs: 1.139 eV/atom
* density of states at the Fermi level: 4.5 states/eV per cell

Geometry as CIF:
```
data_CdRe2Cl
_cell_length_a 2.7455
_cell_length_b 2.7455
_cell_length_c 8.8461
_cell_angle_alpha 90.00
_cell_angle_beta 90.00
_cell_angle_gamma 90.00
_space_group_name_H-M_alt 'P 1'
_space_group_IT_number 1
loop_
_space_group_symop_operation_xyz
'x,y,z'
loop_
_atom_site_label
_atom_site_type_symbol
_atom_site_fract_x
_atom_site_fract_y
_atom_site_fract_z
_atom_site_occupancy
Re1 Re 0.0000 0.0000 0.9897 1
Re2 Re 0.0000 0.0000 0.5103 1
Cl1 Cl 0.5000 0.5000 0.7500 1
Cd1 Cd 0.5000 0.5000 0.2500 1
```

Record 6
Computed, not measured: a relaxed structure of Cd2ReCl at the PBE level of DFT.

Results
* ΔE_f (raw): 0.55 eV per atom
* size of the total moment: 0.00 μB per atom
* energy: -3.48 eV per atom
* symmetry: Pmm2 (25)
* relative energy among the computed polymorphs: 0.245 eV/atom
* density of states at the Fermi level: 3.6 states/eV per cell

Geometry as CIF:
```
data_Cd2ReCl
_cell_length_a 4.8693
_cell_length_b 2.9448
_cell_length_c 5.2636
_cell_angle_alpha 89.99
_cell_angle_beta 90.00
_cell_angle_gamma 90.00
_space_group_name_H-M_alt 'P 1'
_space_group_IT_number 1
loop_
_space_group_symop_operation_xyz
'x,y,z'
loop_
_atom_site_label
_atom_site_type_symbol
_atom_site_fract_x
_atom_site_fract_y
_atom_site_fract_z
_atom_site_occupancy
Re1 Re 0.5000 0.6248 0.7951 1
Cl1 Cl 0.0000 0.6252 0.4717 1
Cd1 Cd 0.0000 0.1244 0.9393 1
Cd2 Cd 0.5000 0.1256 0.2939 1
```

Record 7
Computed, not measured: a relaxed structure of Cd2ReCl at the PBE level of DFT.

Results
* ΔE_f (raw): 0.36 eV per atom
* size of the total moment: 0.00 μB per atom
* energy: -3.67 eV per atom
* symmetry: Cmm2 (35)
* relative energy among the computed polymorphs: 0.058 eV/atom
* density of states at the Fermi level: 2.6 states/eV per cell

Geometry as CIF:
```
data_Cd2ReCl
_cell_length_a 3.0061
_cell_length_b 3.0061
_cell_length_c 10.9357
_cell_angle_alpha 90.00
_cell_angle_beta 90.00
_cell_angle_gamma 122.03
_space_group_name_H-M_alt 'P 1'
_space_group_IT_number 1
loop_
_space_group_symop_operation_xyz
'x,y,z'
loop_
_atom_site_label
_atom_site_type_symbol
_atom_site_fract_x
_atom_site_fract_y
_atom_site_fract_z
_atom_site_occupancy
Re1 Re 0.5000 0.5000 0.7380 1
Cl1 Cl 0.0000 0.0000 0.5666 1
Cd1 Cd 0.0000 0.0000 0.9650 1
Cd2 Cd 0.5000 0.5000 0.2304 1
```

Record 8
Computed, not measured: a relaxed structure of Cd3ReCl at the PBE level of DFT.

Results
* ΔE_f (raw): 1.46 eV per atom
* size of the total moment: 0.59 μB per atom
* energy: -1.95 eV per atom
* symmetry: Pm-3m (221)
* relative energy among the computed polymorphs: 0.630 eV/atom
* density of states at the Fermi level: 6.4 states/eV per cell

Geometry as CIF:
```
data_Cd3ReCl
_cell_length_a 5.1023
_cell_length_b 5.1023
_cell_length_c 5.1023
_cell_angle_alpha 90.00
_cell_angle_beta 90.00
_cell_angle_gamma 90.00
_space_group_name_H-M_alt 'P 1'
_space_group_IT_number 1
loop_
_space_group_symop_operation_xyz
'x,y,z'
loop_
_atom_site_label
_atom_site_type_symbol
_atom_site_fract_x
_atom_site_fract_y
_atom_site_fract_z
_atom_site_occupancy
Re1 Re 0.5000 0.5000 0.5000 1
Cl1 Cl 0.0000 0.0000 0.0000 1
Cd1 Cd 0.0000 0.5000 0.0000 1
Cd2 Cd 0.0000 0.0000 0.5000 1
Cd3 Cd 0.5000 0.0000 0.0000 1
```

Record 9
Computed, not measured: a relaxed structure of CdReCl at the PBE level of DFT.

Results
* ΔE_f (raw): 0.93 eV per atom
* size of the total moment: 0.14 μB per atom
* energy: -4.14 eV per atom
* symmetry: P-6m2 (187)
* relative energy among the computed polymorphs: 0.495 eV/atom
* density of states at the Fermi level: 2.8 states/eV per cell

Geometry as CIF:
```
data_CdReCl
_cell_length_a 4.6454
_cell_length_b 4.6454
_cell_length_c 2.8283
_cell_angle_alpha 90.00
_cell_angle_beta 90.00
_cell_angle_gamma 120.00
_space_group_name_H-M_alt 'P 1'
_space_group_IT_number 1
loop_
_space_group_symop_operation_xyz
'x,y,z'
loop_
_atom_site_label
_atom_site_type_symbol
_atom_site_fract_x
_atom_site_fract_y
_atom_site_fract_z
_atom_site_occupancy
Re1 Re 0.3333 0.6667 0.4999 1
Cl1 Cl 0.6667 0.3333 0.5001 1
Cd1 Cd 0.0000 0.0000 0.9998 1
```

Record 10
Computed, not measured: a relaxed structure of CdReCl at the PBE level of DFT.

Results
* ΔE_f (raw): 0.51 eV per atom
* size of the total moment: 0.06 μB per atom
* energy: -4.56 eV per atom
* symmetry: Fmm2 (42)
* relative energy among the computed polymorphs: 0.073 eV/atom
* density of states at the Fermi level: 2.1 states/eV per cell

Geometry as CIF:
```
data_CdReCl
_cell_length_a 8.6831
_cell_length_b 8.4110
_cell_length_c 2.9753
_cell_angle_alpha 85.18
_cell_angle_beta 74.85
_cell_angle_gamma 19.97
_space_group_name_H-M_alt 'P 1'
_space_group_IT_number 1
loop_
_space_group_symop_operation_xyz
'x,y,z'
loop_
_atom_site_label
_atom_site_type_symbol
_atom_site_fract_x
_atom_site_fract_y
_atom_site_fract_z
_atom_site_occupancy
Re1 Re 0.3206 0.3206 0.6794 1
Cl1 Cl 0.7063 0.7063 0.2937 1
Cd1 Cd 0.9731 0.9731 0.0269 1
```

Record 11
Computed, not measured: a relaxed structure of CdRe2Cl at the PBE level of DFT.

Results
* ΔE_f (raw): 1.21 eV per atom
* size of the total moment: 0.00 μB per atom
* energy: -5.70 eV per atom
* symmetry: Pmmm (47)
* relative energy among the computed polymorphs: 1.107 eV/atom
* density of states at the Fermi level: 4.0 states/eV per cell

Geometry as CIF:
```
data_CdRe2Cl
_cell_length_a 2.8783
_cell_length_b 4.5175
_cell_length_c 6.3866
_cell_angle_alpha 90.00
_cell_angle_beta 90.00
_cell_angle_gamma 90.00
_space_group_name_H-M_alt 'P 1'
_space_group_IT_number 1
loop_
_space_group_symop_operation_xyz
'x,y,z'
loop_
_atom_site_label
_atom_site_type_symbol
_atom_site_fract_x
_atom_site_fract_y
_atom_site_fract_z
_atom_site_occupancy
Re1 Re 0.0000 0.0000 0.0743 1
Re2 Re 0.0000 0.0000 0.4257 1
Cl1 Cl 0.5000 0.5000 0.7500 1
Cd1 Cd 0.5000 0.5000 0.2500 1
```

Record 12
Computed, not measured: a relaxed structure of CdRe2Cl at the PBE level of DFT.

Results
* ΔE_f (raw): 0.10 eV per atom
* size of the total moment: 0.00 μB per atom
* energy: -6.81 eV per atom
* symmetry: Pm (6)
* relative energy among the computed polymorphs: 0.000 eV/atom
* density of states at the Fermi level: 2.5 states/eV per cell

Geometry as CIF:
```
data_CdRe2Cl
_cell_length_a 2.9997
_cell_length_b 3.0449
_cell_length_c 8.2932
_cell_angle_alpha 89.71
_cell_angle_beta 90.00
_cell_angle_gamma 90.00
_space_group_name_H-M_alt 'P 1'
_space_group_IT_number 1
loop_
_space_group_symop_operation_xyz
'x,y,z'
loop_
_atom_site_label
_atom_site_type_symbol
_atom_site_fract_x
_atom_site_fract_y
_atom_site_fract_z
_atom_site_occupancy
Re1 Re 0.0000 0.7513 0.0349 1
Re2 Re 0.5000 0.2489 0.2110 1
Cl1 Cl 0.5000 0.7547 0.7947 1
Cd1 Cd 0.0000 0.7450 0.4593 1
```

Look up the ΔE_f (raw) of the twelfth one.
0.10 eV per atom

Which of these has the lowest density of states at the Fermi level?
number 10

Which of these has the lowest density of states at the Fermi level?
number 10